[1]
Computed, not measured: an optimized crystal structure of SrH3Ir at the GGA-PBE level of DFT.

Summary:
V = 69.5 Å³ per cell
E = -0.152 hartree per atom
Space-group type = Amm2

Lattice parameters (Å, degrees): 3.0121 5.7878 5.7878 136.44 90.00 90.00
Site moments in Bohr magnetons follow the coordinates.
Element x y z (fractional)
Sr1 0.5000 0.1108 0.8892  0.06
Ir1 0.0000 0.4278 0.5722  0.19
H1 0.5000 0.1791 0.3627  0.00
H2 0.5000 0.6373 0.8209  0.00
H3 0.0000 0.2731 0.7269  0.02

***

[2]
Computed, not measured: an optimized crystal structure of SrH3Ir at the GGA-PBE level of DFT.

Summary:
V = 122.2 Å³ per cell
E = -0.161 hartree per atom
Space-group type = C2/m

Lattice parameters (Å, degrees): 15.0310 6.6216 6.6216 145.15 154.48 25.52
Element x y z (fractional)
Sr1 0.6690 0.9341 0.0659
Sr2 0.3310 0.0659 0.9341
Ir1 0.8917 0.9318 0.0682
Ir2 0.1083 0.0682 0.9318
H1 0.7755 0.1849 0.8151
H2 0.2245 0.8151 0.1849
H3 0.8834 0.4498 0.5502
H4 0.1166 0.5502 0.4498
H5 0.4291 0.7508 0.2492
H6 0.5709 0.2492 0.7508

***

[3]
Computed, not measured: an optimized crystal structure of Sr2H4Ir at the GGA-PBE level of DFT.

Summary:
V = 230.7 Å³ per cell
E = -0.153 hartree per atom
Space-group type = P2_1/m

Lattice parameters (Å, degrees): 5.2111 5.6368 9.4232 90.00 123.53 90.00
Element x y z (fractional)
Sr1 0.2503 0.2500 0.0099
Sr2 0.7497 0.7500 0.9901
Sr3 0.2692 0.7500 0.5092
Sr4 0.7308 0.2500 0.4908
H1 0.9132 0.5405 0.2498
H2 0.7742 0.2500 0.0334
H3 0.2258 0.7500 0.9666
H4 0.9132 0.9595 0.2498
H5 0.7936 0.7500 0.5335
H6 0.0868 0.0405 0.7502
H7 0.0868 0.4595 0.7502
H8 0.2064 0.2500 0.4665
Ir1 0.9794 0.2500 0.2500
Ir2 0.0206 0.7500 0.7500

***

[4]
Computed, not measured: an optimized crystal structure of SrH3Ir at the GGA-PBE level of DFT.

Summary:
V = 131.5 Å³ per cell
E = -0.164 hartree per atom
Space-group type = P2_1/m

Lattice parameters (Å, degrees): 5.8056 5.0453 4.9532 90.00 115.00 90.00
Element x y z (fractional)
Sr1 0.2142 0.2500 0.3426
Sr2 0.7858 0.7500 0.6574
Ir1 0.6111 0.2500 0.9916
Ir2 0.3889 0.7500 0.0084
H1 0.7190 0.9422 0.1022
H2 0.2810 0.0578 0.8978
H3 0.7190 0.5578 0.1022
H4 0.2810 0.4422 0.8978
H5 0.8101 0.2500 0.8304
H6 0.1899 0.7500 0.1696

***

[5]
Computed, not measured: an optimized crystal structure of SrH3Ir at the GGA-PBE level of DFT.

Summary:
V = 230.7 Å³ per cell
E = -0.159 hartree per atom
Space-group type = Pnma

Lattice parameters (Å, degrees): 5.7339 6.2216 6.4677 90.00 90.00 90.00
Element x y z (fractional)
Sr1 0.0000 0.0000 0.5000
Sr2 0.5000 0.5000 0.0000
Sr3 0.5000 0.0000 0.0000
Sr4 0.0000 0.5000 0.5000
Ir1 0.5240 0.2500 0.5595
Ir2 0.9760 0.7500 0.0595
Ir3 0.4760 0.7500 0.4405
Ir4 0.0240 0.2500 0.9405
H1 0.0763 0.9654 0.8818
H2 0.4237 0.4654 0.3818
H3 0.4237 0.0346 0.3818
H4 0.9237 0.4654 0.1182
H5 0.9237 0.0346 0.1182
H6 0.5763 0.5346 0.6182
H7 0.5763 0.9654 0.6182
H8 0.0763 0.5346 0.8818
H9 0.2528 0.2500 0.7453
H10 0.2472 0.7500 0.2453
H11 0.7472 0.7500 0.2547
H12 0.7528 0.2500 0.7547

***

[6]
Computed, not measured: an optimized crystal structure of Sr12H5Ir3 at the GGA-PBE level of DFT.

Summary:
V = 2248.9 Å³ per cell
E = -0.125 hartree per atom
Space-group type = Ia-3d

Lattice parameters (Å, degrees): 14.2954 14.2954 14.2954 109.47 109.47 109.47
Element x y z (fractional)
Ir1 0.7500 0.3750 0.1250
Ir2 0.8750 0.7500 0.1250
Ir3 0.3750 0.7500 0.6250
Ir4 0.2500 0.1250 0.3750
Ir5 0.8750 0.1250 0.2500
Ir6 0.3750 0.6250 0.2500
Ir7 0.6250 0.3750 0.7500
Ir8 0.1250 0.8750 0.7500
Ir9 0.7500 0.8750 0.6250
Ir10 0.6250 0.2500 0.3750
Ir11 0.1250 0.2500 0.8750
Ir12 0.2500 0.6250 0.8750
H1 0.1250 0.3750 0.2500
H2 0.0000 0.5000 0.0000
H3 0.0000 0.0000 0.0000
H4 0.3750 0.2500 0.1250
H5 0.5000 0.0000 0.5000
H6 0.5000 0.5000 0.0000
H7 0.1250 0.7500 0.3750
H8 0.7500 0.1250 0.8750
H9 0.7500 0.6250 0.3750
H10 0.3750 0.1250 0.7500
H11 0.6250 0.8750 0.2500
H12 0.5000 0.5000 0.5000
H13 0.5000 0.0000 0.0000
H14 0.0000 0.0000 0.5000
H15 0.2500 0.3750 0.6250
H16 0.2500 0.8750 0.1250
H17 0.0000 0.5000 0.5000
H18 0.8750 0.2500 0.6250
H19 0.6250 0.7500 0.8750
H20 0.8750 0.6250 0.7500
Sr1 0.7157 0.1276 0.0313
Sr2 0.3156 0.5313 0.4037
Sr3 0.9687 0.3724 0.2843
Sr4 0.5313 0.2157 0.1276
Sr5 0.5881 0.7157 0.6844
Sr6 0.9687 0.5963 0.1844
Sr7 0.3156 0.7843 0.4119
Sr8 0.0963 0.9119 0.1276
Sr9 0.5963 0.9687 0.6844
Sr10 0.7157 0.5881 0.1844
Sr11 0.7843 0.4687 0.3724
Sr12 0.8156 0.9037 0.0313
Sr13 0.1276 0.7157 0.5313
Sr14 0.3724 0.4037 0.0881
Sr15 0.0881 0.9037 0.3724
Sr16 0.4119 0.1276 0.5963
Sr17 0.0881 0.1844 0.2157
Sr18 0.4687 0.6844 0.0963
Sr19 0.8156 0.9119 0.2843
Sr20 0.1276 0.4119 0.0963
Sr21 0.3724 0.9687 0.7843
Sr22 0.5963 0.6276 0.4119
Sr23 0.9037 0.8156 0.5313
Sr24 0.7843 0.3156 0.9119
Sr25 0.4037 0.3724 0.5881
Sr26 0.0963 0.1844 0.4687
Sr27 0.2157 0.6844 0.0881
Sr28 0.1844 0.0881 0.7157
Sr29 0.6276 0.0313 0.2157
Sr30 0.8724 0.5881 0.9037
Sr31 0.5313 0.3156 0.9037
Sr32 0.5881 0.8724 0.4037
Sr33 0.9119 0.8156 0.7843
Sr34 0.9119 0.0963 0.6276
Sr35 0.8724 0.2843 0.4687
Sr36 0.1844 0.0963 0.9687
Sr37 0.6276 0.5963 0.9119
Sr38 0.4037 0.0313 0.3156
Sr39 0.2843 0.4119 0.8156
Sr40 0.2157 0.5313 0.6276
Sr41 0.9037 0.0881 0.8724
Sr42 0.6844 0.2157 0.5881
Sr43 0.4687 0.7843 0.8724
Sr44 0.0313 0.4037 0.8156
Sr45 0.4119 0.2843 0.3156
Sr46 0.0313 0.6276 0.7157
Sr47 0.6844 0.4687 0.5963
Sr48 0.2843 0.8724 0.9687

***

[7]
Computed, not measured: an optimized crystal structure of SrH3Ir at the GGA-PBE level of DFT.

Summary:
V = 125.7 Å³ per cell
E = -0.144 hartree per atom
Space-group type = I-4m2

Lattice parameters (Å, degrees): 3.7898 3.7898 9.1520 78.05 78.05 90.00
Element x y z (fractional)
Sr1 0.0000 0.0000 0.0000
Sr2 0.2500 0.7500 0.5000
Ir1 0.6468 0.1468 0.7064
Ir2 0.8532 0.3532 0.2936
H1 0.2953 0.9001 0.1998
H2 0.0999 0.7047 0.8002
H3 0.0999 0.4951 0.8002
H4 0.5049 0.9001 0.1998
H5 0.3483 0.3483 0.3033
H6 0.6517 0.6517 0.6967

***

[8]
Computed, not measured: an optimized crystal structure of SrH3Ir at the GGA-PBE level of DFT.

Summary:
V = 127.4 Å³ per cell
E = -0.168 hartree per atom
Space-group type = P2_1

Lattice parameters (Å, degrees): 4.2854 6.5802 4.7802 90.00 90.00 70.91
Element x y z (fractional)
H1 0.4088 0.2908 0.4183
H2 0.0283 0.0575 0.9183
H3 0.3937 0.3231 0.9488
H4 0.0434 0.0252 0.4489
H5 0.1834 0.7491 0.0457
H6 0.2536 0.5992 0.5457
Ir1 0.3058 0.4988 0.2054
Ir2 0.1313 0.8496 0.7054
Sr1 0.5904 0.9322 0.1977
Sr2 0.8468 0.4161 0.6977

***

[9]
Computed, not measured: an optimized crystal structure of Sr2H2Ir at the GGA-PBE level of DFT.

Summary:
V = 94.8 Å³ per cell
E = -0.143 hartree per atom
Space-group type = I4/mmm

Lattice parameters (Å, degrees): 3.6891 3.6891 7.4400 75.65 75.65 90.00
Element x y z (fractional)
Sr1 0.3594 0.3594 0.2811
Sr2 0.6406 0.6406 0.7189
Ir1 0.0000 0.0000 0.0000
H1 0.7500 0.2500 0.5000
H2 0.2500 0.7500 0.5000

***

[10]
Computed, not measured: an optimized crystal structure of SrH3Ir at the GGA-PBE level of DFT.

Summary:
V = 110.6 Å³ per cell
E = -0.146 hartree per atom
Space-group type = P6_3/mmc

Lattice parameters (Å, degrees): 3.8947 3.8947 8.4205 90.00 90.00 120.00
Element x y z (fractional)
Sr1 0.3333 0.6667 0.7500
Sr2 0.6667 0.3333 0.2500
Ir1 0.0000 0.0000 0.0000
Ir2 0.0000 0.0000 0.5000
H1 0.0000 0.0000 0.2500
H2 0.0000 0.0000 0.7500
H3 0.3333 0.6667 0.0416
H4 0.3333 0.6667 0.4584
H5 0.6667 0.3333 0.5416
H6 0.6667 0.3333 0.9584

***

[11]
Computed, not measured: an optimized crystal structure of SrH2Ir2 at the GGA-PBE level of DFT.

Summary:
V = 75.4 Å³ per cell
E = -0.191 hartree per atom
Space-group type = I4/mmm

Lattice parameters (Å, degrees): 3.7702 3.7702 5.9396 71.50 71.50 90.00
Element x y z (fractional)
Sr1 0.0000 0.0000 0.0000
Ir1 0.2784 0.2784 0.4431
Ir2 0.7216 0.7216 0.5569
H1 0.7500 0.2500 0.5000
H2 0.2500 0.7500 0.5000

***

[12]
Computed, not measured: an optimized crystal structure of SrH3Ir at the GGA-PBE level of DFT.

Summary:
V = 129.1 Å³ per cell
E = -0.155 hartree per atom
Space-group type = I-4m2

Lattice parameters (Å, degrees): 3.7201 3.7201 9.6915 78.93 78.93 90.00
Element x y z (fractional)
Sr1 0.6454 0.1454 0.7093
Sr2 0.8546 0.3546 0.2907
Ir1 0.0000 0.0000 0.0000
Ir2 0.2500 0.7500 0.5000
H1 0.2140 0.9319 0.1361
H2 0.0681 0.7860 0.8639
H3 0.0681 0.3501 0.8639
H4 0.6499 0.9319 0.1361
H5 0.2499 0.2499 0.5002
H6 0.7501 0.7501 0.4998

***

[13]
Computed, not measured: an optimized crystal structure of SrH3Ir at the GGA-PBE level of DFT.

Summary:
V = 60.0 Å³ per cell
E = -0.147 hartree per atom
Space-group type = P4mm

Lattice parameters (Å, degrees): 3.5173 3.5173 4.8496 90.00 90.00 90.00
Element x y z (fractional)
Sr1 0.0000 0.0000 0.1296
Ir1 0.5000 0.5000 0.5517
H1 0.0000 0.0000 0.6505
H2 0.5000 0.0000 0.4659
H3 0.0000 0.5000 0.4659

***

[14]
Computed, not measured: an optimized crystal structure of SrH3Ir at the GGA-PBE level of DFT.

Summary:
V = 120.6 Å³ per cell
E = -0.162 hartree per atom
Space-group type = R-3m

Lattice parameters (Å, degrees): 5.9940 5.9940 5.9940 51.17 51.17 51.17
Element x y z (fractional)
Sr1 0.1042 0.1042 0.1042
Sr2 0.8958 0.8958 0.8958
Ir1 0.3152 0.3152 0.3152
Ir2 0.6848 0.6848 0.6848
H1 0.5644 0.0781 0.5653
H2 0.0781 0.5653 0.5644
H3 0.4347 0.4356 0.9219
H4 0.9219 0.4347 0.4356
H5 0.4356 0.9219 0.4347
H6 0.5653 0.5644 0.0781

***

[15]
Computed, not measured: an optimized crystal structure of SrTc2HIr at the GGA-PBE level of DFT.

Summary:
V = 75.4 Å³ per cell
E = -0.230 hartree per atom
Space-group type = P4/mmm

Lattice parameters (Å, degrees): 3.9814 4.7575 3.9814 90.00 90.00 90.00
Site moments in Bohr magnetons follow the coordinates.
Element x y z (fractional)
Sr1 0.0000 0.5000 0.0000  0.00
Ir1 0.5000 0.5000 0.5000  0.02
Tc1 0.0000 0.0000 0.5000  0.29
Tc2 0.5000 0.0000 0.0000  0.26
H1 0.0000 0.0000 0.0000  0.00

***

[16]
Computed, not measured: an optimized crystal structure of Sr2TlH6Ir at the GGA-PBE level of DFT.

Summary:
V = 157.9 Å³ per cell
E = -0.145 hartree per atom
Space-group type = P-3m1

Lattice parameters (Å, degrees): 7.3071 4.9955 4.9955 120.00 90.00 90.00
Element x y z (fractional)
Sr1 0.2068 0.3333 0.6667
Sr2 0.7932 0.6667 0.3333
Tl1 0.5000 0.0000 0.0000
H1 0.8717 0.1620 0.3240
H2 0.8717 0.1620 0.8380
H3 0.8717 0.6760 0.8380
H4 0.1283 0.8380 0.1620
H5 0.1283 0.3240 0.1620
H6 0.1283 0.8380 0.6760
Ir1 0.0000 0.0000 0.0000

***

[17]
Computed, not measured: an optimized crystal structure of SrZnH8Ir2 at the GGA-PBE level of DFT.

Summary:
V = 110.8 Å³ per cell
E = -0.151 hartree per atom
Space-group type = R-3m

Lattice parameters (Å, degrees): 4.7311 4.7311 6.3357 68.08 68.08 60.00
Element x y z (fractional)
Sr1 0.5000 0.5000 0.5000
Zn1 0.0000 0.0000 0.0000
H1 0.1917 0.1917 0.4248
H2 0.6161 0.0645 0.2556
H3 0.8083 0.8083 0.5752
H4 0.0638 0.6161 0.2556
H5 0.9362 0.3839 0.7444
H6 0.0645 0.0638 0.2556
H7 0.9355 0.9362 0.7444
H8 0.3839 0.9355 0.7444
Ir1 0.2844 0.2844 0.1469
Ir2 0.7156 0.7156 0.8531

***

[18]
Computed, not measured: an optimized crystal structure of Sr2ZnHIr at the GGA-PBE level of DFT.

Summary:
V = 106.9 Å³ per cell
E = -0.131 hartree per atom
Space-group type = P4/mmm

Lattice parameters (Å, degrees): 5.3824 5.3824 3.6911 90.00 90.00 90.00
Site moments in Bohr magnetons follow the coordinates.
Element x y z (fractional)
Sr1 0.0000 0.5000 0.0000  0.00
Sr2 0.5000 0.0000 0.0000  0.00
Zn1 0.5000 0.5000 0.5000  0.00
Ir1 0.0000 0.0000 0.5000  0.08
H1 0.0000 0.0000 0.0000  0.00

***

[19]
Computed, not measured: an optimized crystal structure of TaHIr2 at the GGA-PBE level of DFT.

Summary:
V = 55.1 Å³ per cell
E = -0.298 hartree per atom
Space-group type = Fm-3m

Lattice parameters (Å, degrees): 4.2714 4.2714 4.2714 60.00 60.00 60.00
Element x y z (fractional)
H1 0.0000 0.0000 0.0000
Ir1 0.2500 0.2500 0.2500
Ir2 0.7500 0.7500 0.7500
Ta1 0.5000 0.5000 0.5000

***

[20]
Computed, not measured: an optimized crystal structure of TaHIr at the GGA-PBE level of DFT.

Summary:
V = 72.2 Å³ per cell
E = -0.305 hartree per atom
Space-group type = P4/nmm

Lattice parameters (Å, degrees): 3.3186 3.3186 6.5548 90.00 90.00 90.00
Element x y z (fractional)
Ta1 0.0000 0.5000 0.8149
Ta2 0.5000 0.0000 0.1851
H1 0.0000 0.0000 0.0000
H2 0.5000 0.5000 0.0000
Ir1 0.0000 0.5000 0.3773
Ir2 0.5000 0.0000 0.6227